[1]
! PBE Tb2HgPt, relaxed; values from VASP
&SYSTEM
  ibrav = 0, nat = 4, ntyp = 3
/
ATOMIC_SPECIES
Tb 158.93 Tb.upf
Hg 200.59 Hg.upf
Pt 195.08 Pt.upf
CELL_PARAMETERS angstrom
4.1257 0.0000 0.0000
2.0629 3.5730 0.0000
2.0629 1.1910 7.4181
ATOMIC_POSITIONS angstrom
Tb 2.0629 1.1910 5.8779
Tb 2.0629 1.1910 1.5328
Hg 4.1257 2.3820 3.6991
Pt 4.1257 2.3820 0.0174
! formation enthalpy at 0 K: -784 meV/atom
! energy relative to the lowest polymorph listed for this composition: 0.29 eV/f.u.
! VASP energy: -4.6846 eV/atom

***

[2]
! PBE Er4Ga3Os, relaxed; values from VASP
&SYSTEM
  ibrav = 0, nat = 8, ntyp = 3
/
ATOMIC_SPECIES
Er 167.26 Er.upf
Ga 69.72 Ga.upf
Os 190.23 Os.upf
CELL_PARAMETERS angstrom
-0.9446 -3.4934 1.4274
2.2999 -1.8881 -3.0988
8.7331 0.2299 6.3418
ATOMIC_POSITIONS angstrom
Er 3.6444 -2.6126 1.3187
Er 8.7410 -0.7442 3.9630
Er 1.2203 0.0321 0.8861
Er 5.2111 -1.5971 4.8409
Ga 6.1847 -0.8115 2.1067
Ga 3.7273 0.0981 2.7067
Ga 7.6371 -1.5332 6.6025
Os 1.2774 -2.6750 -0.4001
! formation enthalpy at 0 K: -519 meV/atom
! VASP energy: -5.3390 eV/atom